No. 1
First-principles (GGA-PBE) data for a geometry-optimized SrZn2Sb2 structure, as listed in Alexandria via LeMat-Bulk.

Unit cell a=8.172 b=8.172 c=3.683 alpha=90.00 beta=90.00 gamma=90.00
Atoms (fractional coordinates):
1 Sb 0.321 0.179 0.500
2 Sb 0.179 0.679 0.500
3 Sb 0.679 0.821 0.500
4 Zn 0.387 0.887 0.000
5 Zn 0.887 0.613 0.000
6 Sr 0.000 0.000 0.000
7 Zn 0.113 0.387 0.000
8 Sb 0.821 0.321 0.500
9 Sr 0.500 0.500 0.000
10 Zn 0.613 0.113 0.000

crystal system	tetragonal
formation energy (no corrections)	-265	meV/atom
magnetic moment	0.00	μB/cell
mass density	6.24	g/cm3

=====

No. 2
First-principles (GGA-PBE) data for a geometry-optimized SrZnSb2 structure, as listed in Alexandria via LeMat-Bulk.

Unit cell a=6.269 b=6.269 c=6.269 alpha=141.44 beta=130.95 gamma=64.06
Atoms (fractional coordinates):
1 Sb 0.784 0.284 0.500
2 Sr 0.504 0.504 0.000
3 Sb 0.996 0.996 0.000
4 Zn 0.216 0.716 0.500

crystal system	orthorhombic
formation energy (no corrections)	-294	meV/atom
magnetic moment	0.00	μB/cell
mass density	5.75	g/cm3

=====

Look up the magnetic moment of the first one.
0.00 μB/cell

=====

Please write out number 1 again, unchanged.
First-principles (GGA-PBE) data for a geometry-optimized SrZn2Sb2 structure, as listed in Alexandria via LeMat-Bulk.

Unit cell a=8.172 b=8.172 c=3.683 alpha=90.00 beta=90.00 gamma=90.00
Atoms (fractional coordinates):
1 Sb 0.321 0.179 0.500
2 Sb 0.179 0.679 0.500
3 Sb 0.679 0.821 0.500
4 Zn 0.387 0.887 0.000
5 Zn 0.887 0.613 0.000
6 Sr 0.000 0.000 0.000
7 Zn 0.113 0.387 0.000
8 Sb 0.821 0.321 0.500
9 Sr 0.500 0.500 0.000
10 Zn 0.613 0.113 0.000

crystal system	tetragonal
formation energy (no corrections)	-265	meV/atom
magnetic moment	0.00	μB/cell
mass density	6.24	g/cm3

=====

Number 1 is which compound?
SrZn2Sb2